# Na3IO6

An optimized crystal structure of Na3IO6 (PBE, the Alexandria database).

DFT total energy: -4.394 eV/atom
Total moment: 2.0 μB per formula unit
ΔE_f (raw): -0.869 eV/atom

Cell: 5.7762 5.8121 5.8121 Å, 60.60 60.59 60.59°
Closest atoms and distances in Å follow each position.
Positions (direct):
O 0.6480 0.3393 0.7909  1 I 1.88
O 0.1652 0.7101 0.7101  1 I 1.88
I 0.5000 0.5000 0.5000  6 O 1.88
O 0.3520 0.6607 0.2091  1 I 1.88
Na 0.7185 0.7526 0.7526  5 O 2.36-2.52
Na 0.0000 0.0000 0.0000  6 O 2.37-2.49
Na 0.2815 0.2474 0.2474  5 O 2.36-2.52
O 0.3520 0.2091 0.6607  1 I 1.88
O 0.8348 0.2899 0.2899  1 I 1.88
O 0.6480 0.7909 0.3393  1 I 1.88